The following is a DFT calculation (PBE) of an optimized crystal structure of Zn3Pb.

## Properties
- SG = Pmmn, No. 59
- M_tot (Bohr magnetons per cell) = 0.00
- energy of formation (kJ/mol of atoms) = 8.0
- N(E_F) (states/eV per cell) = 2.70
- V (Å³/cell) = 159.63

Lattice parameters (Å, degrees): 4.315 6.689 5.531 90.00 90.00 90.00
Fractional positions:
Pb: 0.000 0.422 0.000
Pb: 0.500 0.578 0.500
Zn: 0.500 0.783 0.000
Zn: 0.000 0.217 0.500
Zn: 0.000 0.871 0.255
Zn: 0.000 0.871 0.745
Zn: 0.500 0.129 0.755
Zn: 0.500 0.129 0.245



The following is a DFT calculation (PBE) of an optimized crystal structure of ZnPb.

## Properties
- SG = P4/nmm, No. 129
- M_tot (Bohr magnetons per cell) = 0.00
- energy of formation (kJ/mol of atoms) = 9.0
- N(E_F) (states/eV per cell) = 1.50
- V (Å³/cell) = 96.48

Lattice parameters (Å, degrees): 3.495 3.495 7.898 90.00 90.00 90.00
Fractional positions:
Pb: 0.000 0.000 0.943
Pb: 0.500 0.500 0.307
Zn: 0.000 0.000 0.546
Zn: 0.500 0.500 0.704



The following is a DFT calculation (PBE) of an optimized crystal structure of ZnPb.

## Properties
- SG = R-3m, No. 166
- M_tot (Bohr magnetons per cell) = 0.00
- energy of formation (kJ/mol of atoms) = 14.0
- N(E_F) (states/eV per cell) = 1.41
- V (Å³/cell) = 98.73

Lattice parameters (Å, degrees): 10.054 10.054 10.054 19.47 19.47 19.47
Fractional positions:
Pb: 0.988 0.988 0.988
Pb: 0.762 0.762 0.762
Zn: 0.513 0.513 0.513
Zn: 0.237 0.237 0.237